ZrAsBr3 | meta-GGA SCAN | single point on PBEsol structure

The structure in CIF format:
```
data_ZrAsBr3
_chemical_formula_sum 'Zr1 As1 Br3'
_symmetry_space_group_name_H-M 'P m -3 m'
_symmetry_Int_Tables_number 221
_symmetry_space_group_name_Hall '-P 4 2 3'
_cell_length_a 5.221
_cell_length_b 5.221
_cell_length_c 5.221
_cell_angle_alpha 90.00
_cell_angle_beta 90.00
_cell_angle_gamma 90.00
loop_
_atom_site_label
_atom_site_fract_x
_atom_site_fract_y
_atom_site_fract_z
Zr1 0.000 0.000 0.000
As1 0.500 0.500 0.500
Br1 0.000 0.500 0.500
```

Values from the calculation:
Its density is 4.74 Mg/m³. The calculation puts the volume at 142.3 Å³ per cell. The raw formation energy comes out at 0.32 eV/atom. As for the total energy: -107.69 eV per cell.

=====

KZn2In2 | meta-GGA SCAN | single point on PBEsol structure

The structure in CIF format:
```
data_KZn2In2
_chemical_formula_sum 'K2 Zn4 In4'
_symmetry_space_group_name_H-M 'I 4/m m m'
_symmetry_Int_Tables_number 139
_symmetry_space_group_name_Hall '-I 4 2'
_cell_length_a 4.623
_cell_length_b 4.623
_cell_length_c 11.587
_cell_angle_alpha 90.00
_cell_angle_beta 90.00
_cell_angle_gamma 90.00
loop_
_atom_site_label
_atom_site_fract_x
_atom_site_fract_y
_atom_site_fract_z
K1 0.000 0.000 0.000
Zn1 0.000 0.500 0.250
In1 0.000 0.000 0.374
```

Values from the calculation:
The energy above the most stable polymorph in this dataset is 28 meV/atom. Its density is 5.36 Mg/m³. The calculation puts the volume at 247.7 Å³ per cell. As for the total energy: -205.06 eV per cell.

=====

InHg2 | meta-GGA SCAN | single point on PBEsol structure

The structure in CIF format:
```
data_InHg2
_chemical_formula_sum 'In4 Hg8'
_symmetry_space_group_name_H-M 'C m c m'
_symmetry_Int_Tables_number 63
_symmetry_space_group_name_Hall '-C 2c 2'
_cell_length_a 9.592
_cell_length_b 5.465
_cell_length_c 5.483
_cell_angle_alpha 90.00
_cell_angle_beta 90.00
_cell_angle_gamma 90.00
loop_
_atom_site_label
_atom_site_fract_x
_atom_site_fract_y
_atom_site_fract_z
In1 0.000 0.249 0.250
Hg1 0.168 0.251 0.750
```

Values from the calculation:
Its density is 11.92 Mg/m³. The calculation puts the volume at 287.4 Å³ per cell. As for the total energy: -678.59 eV per cell.

=====

MnCr2Tc | meta-GGA SCAN | single point on PBEsol structure

The structure in CIF format:
```
data_MnCr2Tc
_chemical_formula_sum 'Mn4 Cr8 Tc4'
_symmetry_space_group_name_H-M 'F m -3 m'
_symmetry_Int_Tables_number 225
_symmetry_space_group_name_Hall '-F 4 2 3'
_cell_length_a 5.726
_cell_length_b 5.726
_cell_length_c 5.726
_cell_angle_alpha 90.00
_cell_angle_beta 90.00
_cell_angle_gamma 90.00
loop_
_atom_site_label
_atom_site_fract_x
_atom_site_fract_y
_atom_site_fract_z
Mn1 0.000 0.000 0.000
Cr1 0.250 0.250 0.250
Tc1 0.000 0.000 0.500
```

Values from the calculation:
The energy above the most stable polymorph in this dataset is 0 meV/atom. Its density is 9.09 Mg/m³. The calculation puts the volume at 187.7 Å³ per cell. As for the total energy: -360.68 eV per cell.